{
  "formula": "CoNiGe",
  "functional": "meta-GGA SCAN",
  "state": "single point on PBEsol structure",
  "formation_enthalpy_0k_kj_per_mol_atoms": -17.47,
  "space_group": "P6_3/mmc",
  "lattice_angstrom": [[3.937, 0.000, 0.000], [-1.969, 3.410, 0.000], [0.000, 0.000, 5.010]],
  "species": ["Ge", "Ge", "Co", "Co", "Ni", "Ni"],
  "fractional_positions": [[0.333, 0.667, 0.250], [0.667, 0.333, 0.750], [0.000, 0.000, 0.000], [0.000, 0.000, 0.500], [0.333, 0.667, 0.750], [0.667, 0.333, 0.250]]
}